TiCrO3F after structural relaxation. Source: Alexandria via LeMat-Bulk, functional PBE+U.

```
data_TiCrO3F
_chemical_formula_sum 'Ti4 Cr4 O12 F4'
_cell_length_a 3.083
_cell_length_b 13.877
_cell_length_c 7.943
_cell_angle_alpha 90.00
_cell_angle_beta 90.00
_cell_angle_gamma 90.00
_space_group_name_H-M_alt 'C m c m'
_space_group_IT_number 63
_space_group_name_Hall '-C 2c 2'
loop_
_atom_site_label
_atom_site_type_symbol
_atom_site_fract_x
_atom_site_fract_y
_atom_site_fract_z
Ti1 Ti 0.000 0.126 0.250
Cr1 Cr 0.000 0.500 0.000
O1 O 0.000 0.094 0.020
O2 O 0.000 0.470 0.750
F1 F 0.000 0.282 0.750
```

Properties
calculated volume = 339.82 Å³ per cell
theoretical density = 3.26 g/cm³
N(E_F) = 0.00 states/eV per cell
E = -7.9161 eV per atom